Record 1
The following is a PBE-GGA calculation of crystalline HoFeTc at its relaxed geometry, from the Open Quantum Materials Database.

Geometry as POSCAR:
```
HoFeTc
1.0
0.000 3.026 3.026
3.026 0.000 3.026
3.026 3.026 0.000
Fe Ho Tc
1 1 1
Direct
0.000 0.000 0.000
0.250 0.250 0.250
0.750 0.750 0.750
```

**Formation energy**: 0.455 eV per atom
**Symmetry**: F-43m
**DFT total energy**: -7.2938 eV/atom
**Polymorph energy (0 for the lowest one)**: 0.0 meV per atom

Record 2
The following is a PBE-GGA calculation of crystalline Ho3FeTe5 at its relaxed geometry, from the Open Quantum Materials Database.

Geometry as POSCAR:
```
Ho3FeTe5
1.0
8.595 0.000 0.000
-4.298 7.444 0.000
0.000 0.000 3.712
Fe Ho Te
1 3 5
Direct
0.000 0.000 0.000
0.647 0.000 0.000
0.353 0.353 0.000
0.000 0.647 0.000
0.221 0.000 0.500
0.000 0.221 0.500
0.667 0.333 0.500
0.333 0.667 0.500
0.779 0.779 0.500
```

**Symmetry**: P-62m
**DFT total energy**: -4.9169 eV/atom
**Polymorph energy (0 for the lowest one)**: 64.3 meV per atom

Record 3
The following is a PBE-GGA calculation of crystalline Ho3FeTe5 at its relaxed geometry, from the Open Quantum Materials Database.

Geometry as POSCAR:
```
Ho3FeTe5
1.0
-4.373 5.218 -4.858
2.273 -7.505 -2.908
-3.667 -1.687 1.488
Fe Ho Te
1 3 5
Direct
0.000 0.000 0.000
0.261 0.000 0.500
0.000 0.261 0.500
0.739 0.739 0.500
0.704 0.000 0.000
0.296 0.296 0.000
0.000 0.704 0.000
0.667 0.333 0.500
0.333 0.667 0.500
```

**Symmetry**: P-62m
**DFT total energy**: -4.9812 eV/atom
**Polymorph energy (0 for the lowest one)**: 0.0 meV per atom

Record 4
The following is a PBE-GGA calculation of crystalline HoTlFeTe3 at its relaxed geometry, from the Open Quantum Materials Database.

Geometry as POSCAR:
```
HoTlFeTe3
1.0
-7.966 -7.516 -5.628
2.954 -0.657 -3.304
5.023 -10.207 6.521
Fe Ho Te Tl
4 4 12 4
Direct
0.756 0.750 0.200
0.256 0.750 0.300
0.744 0.250 0.700
0.244 0.250 0.800
0.479 0.250 0.184
0.979 0.250 0.316
0.021 0.750 0.684
0.521 0.750 0.816
0.599 0.750 0.062
0.962 0.750 0.153
0.224 0.250 0.197
0.724 0.250 0.303
0.462 0.750 0.347
0.099 0.750 0.438
0.901 0.250 0.562
0.538 0.250 0.653
0.276 0.750 0.697
0.776 0.750 0.803
0.038 0.250 0.847
0.401 0.250 0.938
0.814 0.250 0.008
0.314 0.250 0.492
0.686 0.750 0.508
0.186 0.750 0.992
```

**Symmetry**: Pnma
**DFT total energy**: -4.6638 eV/atom
**Polymorph energy (0 for the lowest one)**: 88.9 meV per atom

Record 5
The following is a PBE-GGA calculation of crystalline HoTlFeTe3 at its relaxed geometry, from the Open Quantum Materials Database.

Geometry as POSCAR:
```
HoTlFeTe3
1.0
8.988 0.000 0.000
0.000 4.206 0.000
-3.977 0.000 10.437
Fe Ho Te Tl
2 2 6 2
Direct
0.437 0.750 0.421
0.563 0.250 0.579
0.184 0.250 0.148
0.816 0.750 0.852
0.935 0.750 0.142
0.442 0.750 0.184
0.259 0.250 0.443
0.741 0.750 0.557
0.558 0.250 0.816
0.065 0.250 0.858
0.765 0.250 0.298
0.235 0.750 0.702
```

**Symmetry**: P2_1/m
**DFT total energy**: -4.7485 eV/atom
**Polymorph energy (0 for the lowest one)**: 4.2 meV per atom

Record 6
The following is a PBE-GGA calculation of crystalline HoTlFeTe3 at its relaxed geometry, from the Open Quantum Materials Database.

Geometry as POSCAR:
```
HoTlFeTe3
1.0
-3.960 8.024 2.184
-7.424 5.173 1.723
1.878 -3.681 8.638
Fe Ho Te Tl
2 2 6 2
Direct
0.498 0.498 0.350
0.502 0.502 0.650
0.827 0.827 0.417
0.173 0.173 0.583
0.500 0.500 0.000
0.348 0.348 0.214
0.655 0.655 0.352
0.000 0.000 0.500
0.345 0.345 0.648
0.652 0.652 0.786
0.138 0.138 0.058
0.862 0.862 0.942
```

**Symmetry**: C2/m
**DFT total energy**: -4.5831 eV/atom
**Polymorph energy (0 for the lowest one)**: 169.6 meV per atom

Record 7
The following is a PBE-GGA calculation of crystalline HoTlFeTe3 at its relaxed geometry, from the Open Quantum Materials Database.

Geometry as POSCAR:
```
HoTlFeTe3
1.0
16.127 0.000 0.000
0.000 4.213 0.000
0.000 0.000 11.531
Fe Ho Te Tl
4 4 12 4
Direct
0.509 0.250 0.075
0.009 0.250 0.425
0.991 0.750 0.575
0.491 0.750 0.925
0.020 0.750 0.160
0.520 0.750 0.340
0.480 0.250 0.660
0.980 0.250 0.840
0.897 0.250 0.075
0.409 0.750 0.120
0.632 0.250 0.229
0.132 0.250 0.271
0.909 0.750 0.380
0.397 0.250 0.425
0.603 0.750 0.575
0.091 0.250 0.620
0.868 0.750 0.729
0.368 0.750 0.771
0.591 0.250 0.880
0.103 0.750 0.925
0.737 0.750 0.026
0.237 0.750 0.474
0.763 0.250 0.526
0.263 0.250 0.974
```

**Symmetry**: Pnma
**DFT total energy**: -4.7527 eV/atom
**Polymorph energy (0 for the lowest one)**: 0.0 meV per atom

Record 8
The following is a PBE-GGA calculation of crystalline HoTlFeTe3 at its relaxed geometry, from the Open Quantum Materials Database.

Geometry as POSCAR:
```
HoTlFeTe3
1.0
4.286 0.000 0.000
2.143 7.919 0.000
0.000 0.000 11.301
Fe Ho Te Tl
2 2 6 2
Direct
0.529 0.941 0.250
0.471 0.059 0.750
0.000 0.000 0.000
0.000 0.000 0.500
0.631 0.739 0.066
0.926 0.148 0.250
0.631 0.739 0.434
0.369 0.261 0.566
0.074 0.852 0.750
0.369 0.261 0.934
0.243 0.514 0.250
0.757 0.486 0.750
```

**Symmetry**: Cmcm
**DFT total energy**: -4.7331 eV/atom
**Polymorph energy (0 for the lowest one)**: 19.6 meV per atom